First-principles (meta-GGA SCAN) data for a crystal of Fe3PdI relaxed with PBEsol, as listed in the Alexandria database.

```
Fe3PdI
1.0
4.647 0.000 0.000
0.000 4.647 0.000
0.000 0.000 4.647
Fe Pd I
3 1 1
Cartesian
0.000 0.000 2.324 Fe
0.000 2.324 0.000 Fe
2.324 0.000 0.000 Fe
0.000 0.000 0.000 Pd
2.324 2.324 2.324 I
```

Summary:
crystal system: cubic
uncorrected energy: -119.12 eV/f.u.
formation energy without anion corrections: 0.956 eV per atom

=====

First-principles (meta-GGA SCAN) data for a crystal of InTePt2 relaxed with PBEsol, as listed in the Alexandria database.

```
InTePt2
1.0
0.000 3.357 3.357
3.357 0.000 3.357
3.357 3.357 0.000
In Te Pt
1 1 2
Cartesian
0.000 0.000 0.000 In
5.036 5.036 5.036 Te
1.679 1.679 1.679 Pt
3.357 3.357 3.357 Pt
```

Summary:
crystal system: cubic
uncorrected energy: -210.05 eV/f.u.
formation energy without anion corrections: 0.242 eV per atom

=====

First-principles (meta-GGA SCAN) data for a crystal of Fe2SbRh relaxed with PBEsol, as listed in the Alexandria database.

```
Fe2SbRh
1.0
1.489 0.859 7.729
-1.489 0.859 7.729
0.000 -1.719 7.729
Fe Sb Rh
2 1 1
Cartesian
0.000 0.000 0.000 Fe
0.000 0.000 6.034 Fe
0.000 0.000 11.733 Sb
0.000 0.000 17.372 Rh
```

Summary:
crystal system: trigonal
uncorrected energy: -106.46 eV/f.u.
formation energy without anion corrections: 0.208 eV per atom

=====

First-principles (meta-GGA SCAN) data for a crystal of CuTe2Pb relaxed with PBEsol, as listed in the Alexandria database.

```
CuTe2Pb
1.0
4.445 0.000 0.000
0.000 3.999 0.000
-2.175 0.000 6.220
Cu Te Pb
1 2 1
Cartesian
0.000 0.000 0.000 Cu
0.050 0.000 2.474 Te
2.308 1.999 4.727 Te
2.240 1.999 1.015 Pb
```

Summary:
crystal system: monoclinic
uncorrected energy: -165.55 eV/f.u.
formation energy without anion corrections: -0.018 eV per atom

=====

First-principles (meta-GGA SCAN) data for a crystal of YZrHg3 relaxed with PBEsol, as listed in the Alexandria database.

```
YZrHg3
1.0
5.273 0.000 0.000
0.000 5.273 0.000
0.000 0.000 5.273
Y Zr Hg
1 1 3
Cartesian
0.000 0.000 0.000 Y
2.636 2.636 2.636 Zr
0.000 2.636 2.636 Hg
2.636 0.000 2.636 Hg
2.636 2.636 0.000 Hg
```

Summary:
DFT formation energy: 0.284 eV per atom
crystal system: cubic
ΔE to the lowest computed polymorph: 0.0 kJ/mol of atoms
uncorrected energy: -261.62 eV/f.u.

=====

First-principles (meta-GGA SCAN) data for a crystal of TiNiP3 relaxed with PBEsol, as listed in the Alexandria database.

```
TiNiP3
1.0
4.553 0.000 0.000
0.000 4.553 0.000
0.000 0.000 4.553
Ti Ni P
1 1 3
Cartesian
0.000 0.000 0.000 Ti
2.277 2.277 2.277 Ni
0.000 0.000 2.277 P
0.000 2.277 0.000 P
2.277 0.000 0.000 P
```

Summary:
DFT formation energy: 0.741 eV per atom
crystal system: cubic
uncorrected energy: -59.69 eV/f.u.

=====

First-principles (meta-GGA SCAN) data for a crystal of HgSbPb relaxed with PBEsol, as listed in the Alexandria database.

```
HgSbPb
1.0
-1.751 2.136 5.311
1.751 -2.136 5.311
1.751 2.136 -5.311
Hg Sb Pb
1 1 1
Cartesian
0.000 0.000 0.000 Hg
0.000 0.000 3.693 Sb
0.000 0.000 7.127 Pb
```

Summary:
crystal system: orthorhombic
ΔE to the lowest computed polymorph: 4.1 kJ/mol of atoms
uncorrected energy: -180.85 eV/f.u.
formation energy without anion corrections: 0.119 eV per atom

=====

First-principles (meta-GGA SCAN) data for a crystal of LiFeCuO4 relaxed with PBEsol, as listed in the Alexandria database.

```
LiFeCuO4
1.0
-2.722 2.764 4.489
2.722 -2.764 4.489
2.722 2.764 -4.489
Li Fe Cu O
2 2 2 8
Cartesian
0.000 1.382 0.934 Li
2.722 1.382 3.556 Li
1.361 1.382 -2.245 Fe
1.361 -1.382 2.245 Fe
2.722 0.000 0.000 Cu
0.000 0.000 4.489 Cu
1.490 1.382 -0.362 O
3.955 1.382 -0.362 O
2.722 2.624 -2.342 O
2.722 -0.140 2.342 O
0.000 2.904 2.147 O
0.000 0.140 6.831 O
-1.232 1.382 4.851 O
1.232 1.382 4.851 O
```

Summary:
crystal system: orthorhombic
uncorrected energy: -70.45 eV/f.u.
formation energy without anion corrections: -1.401 eV per atom

=====

| no. | DOS(E_F) (states/eV/f.u.) |
| --- | --- |
| 1 | 3.316 |
| 2 | 4.103 |
| 3 | 2.426 |
| 4 | 2.505 |
| 5 | 7.148 |
| 6 | 4.411 |
| 7 | 1.479 |
| 8 | 1.969 |